A relaxed structure of CdHg4Pb. Source: Alexandria via LeMat-Bulk, functional PBE.

```
CdHg4Pb
1.0
1.8287 -8.4548 0.0000
1.8287 8.4548 0.0000
0.0000 0.0000 10.3015
Cd Hg Pb
2 8 2
Cartesian
1.8287 4.9142 5.1508 Cd
1.8287 -4.9142 0.0000 Cd
1.8287 8.1594 7.8365 Hg
1.8287 6.1315 10.2037 Hg
1.8287 3.0480 2.4252 Hg
1.8287 0.5232 0.1377 Hg
1.8287 -0.5232 5.2884 Hg
1.8287 -3.0480 7.5759 Hg
1.8287 -6.1315 5.0529 Hg
1.8287 -8.1594 2.6858 Hg
1.8287 2.4759 7.8248 Pb
1.8287 -2.4759 2.6741 Pb
```

Summary:
- energy of formation from the pure elements (eV/atom) = 0.0351
- uncorrected energy (eV/cell) = -11.24
- energy relative to the lowest polymorph listed for this composition (eV per atom) = 0.008